{"formula": "Ce6Sn3Pb", "functional": "PBE-GGA", "state": "optimized geometry", "lattice_angstrom": [[-6.5787, -5.0304, 1.8968], [-1.7206, -0.7618, -7.9879], [5.9201, -5.9578, -0.7071]], "species": ["Ce", "Sn", "Ce", "Pb", "Ce", "Sn", "Sn", "Ce", "Ce", "Ce", "Ce", "Ce", "Sn", "Ce", "Ce", "Pb", "Ce", "Ce", "Sn", "Sn"], "frac_coords": [[0.1572, 0.6746, 0.7045], [0.5000, 0.5000, 0.0000], [0.8428, 0.3254, 0.2955], [0.5000, 0.5000, 0.5000], [0.8521, 0.6304, 0.9313], [0.5290, 0.8264, 0.7935], [0.4710, 0.1736, 0.2065], [0.3317, 0.8160, 0.1063], [0.1683, 0.3160, 0.3937], [0.6479, 0.1304, 0.5687], [0.6683, 0.1840, 0.8937], [0.3521, 0.8696, 0.4313], [0.9710, 0.3264, 0.7065], [0.6572, 0.8254, 0.2045], [0.3428, 0.1746, 0.7955], [0.0000, 0.0000, 0.0000], [0.1479, 0.3696, 0.0687], [0.8317, 0.6840, 0.6063], [0.0000, 0.0000, 0.5000], [0.0290, 0.6736, 0.2935]], "e_form_ev_per_atom": -0.32, "sg": "P2_1/c (14)", "total_magnetization_mub_per_fu": 4.7, "e_tot_ev_per_cell": -109.09}

{"formula": "Na2Pb2I", "functional": "PBE-GGA", "state": "optimized geometry", "lattice_angstrom": [[-5.2432, -4.4371, 6.2564], [7.1178, 0.0090, 5.9715], [-1.1977, 3.4212, 1.4225]], "species": ["Na", "Pb", "Na", "Pb", "Na", "Na", "I", "Pb", "Pb", "I"], "frac_coords": [[0.1890, 0.3110, 0.0000], [0.8875, 0.3875, 0.5000], [0.3110, 0.8110, 0.0000], [0.1125, 0.6125, 0.5000], [0.6890, 0.1890, 0.0000], [0.8110, 0.6890, 0.0000], [0.5000, 0.5000, 0.0000], [0.3875, 0.1125, 0.5000], [0.6125, 0.8875, 0.5000], [0.0000, 0.0000, 0.0000]], "e_form_raw_ev_per_atom": -0.20, "sg": "P4/mbm (127)", "total_magnetization_mub_per_fu": 0.0, "e_tot_ev_per_cell": -25.24, "relative_energy_mev_per_atom": 0}

{"formula": "CsKSrPb", "functional": "PBE-GGA", "state": "optimized geometry", "lattice_angstrom": [[6.2507, 0.0000, 0.0000], [3.1254, 5.4133, 0.0000], [3.1254, 1.8044, 5.1037]], "species": ["Cs", "Sr", "Pb", "K"], "frac_coords": [[0.0000, 0.0000, 0.0000], [0.2500, 0.2500, 0.2500], [0.5000, 0.5000, 0.5000], [0.7500, 0.7500, 0.7500]], "e_form_ev_per_atom": -0.13, "sg": "F-43m (216)", "total_magnetization_mub_per_fu": 0.0, "e_tot_ev_per_cell": -7.86}

{"formula": "VCdIn3", "functional": "PBE-GGA", "state": "optimized geometry", "lattice_angstrom": [[5.4335, 0.0000, 0.0000], [0.0000, 5.4335, 0.0000], [0.0000, 0.0000, 5.4335]], "species": ["Cd", "In", "In", "V", "In"], "frac_coords": [[0.0000, 0.0000, 0.0000], [0.0000, 0.5000, 0.0000], [0.0000, 0.0000, 0.5000], [0.5000, 0.5000, 0.5000], [0.5000, 0.0000, 0.0000]], "e_form_ev_per_atom": 0.95, "sg": "Pm-3m (221)", "total_magnetization_mub_per_fu": 4.0, "e_tot_ev_per_cell": -13.48, "relative_energy_mev_per_atom": 484}

{"formula": "BaMg12Hg6", "functional": "PBE-GGA", "state": "optimized geometry", "lattice_angstrom": [[8.1238, 0.0098, 0.0139], [-2.0042, 7.8727, 0.0139], [-2.0042, -2.5816, 7.4374]], "species": ["Mg", "Hg", "Hg", "Mg", "Mg", "Mg", "Mg", "Mg", "Mg", "Hg", "Mg", "Mg", "Hg", "Hg", "Mg", "Mg", "Ba", "Hg", "Mg"], "frac_coords": [[0.1200, 0.8800, 0.5000], [0.2958, 0.7504, 0.7504], [0.2496, 0.7042, 0.2496], [0.8800, 0.1200, 0.5000], [0.8800, 0.5000, 0.1200], [0.5668, 0.5668, 0.8300], [0.5000, 0.8800, 0.1200], [0.4332, 0.1700, 0.4332], [0.1200, 0.5000, 0.8800], [0.7042, 0.2496, 0.2496], [0.4332, 0.4332, 0.1700], [0.1700, 0.4332, 0.4332], [0.2496, 0.2496, 0.7042], [0.7504, 0.7504, 0.2958], [0.5668, 0.8300, 0.5668], [0.8300, 0.5668, 0.5668], [0.0000, 0.0000, 0.0000], [0.7504, 0.2958, 0.7504], [0.5000, 0.1200, 0.8800]], "e_form_ev_per_atom": -0.19, "sg": "R-3m (166)", "total_magnetization_mub_per_fu": 0.0, "e_tot_ev_per_cell": -26.46}

{"formula": "Ac7PrNd3", "functional": "PBE-GGA", "state": "optimized geometry", "lattice_angstrom": [[0.3164, 6.8694, 0.8507], [-3.0639, -0.0573, 7.7731], [7.4130, -0.0546, 3.8544]], "species": ["Nd", "Nd", "Ac", "Pr", "Ac", "Ac", "Nd", "Ac", "Ac", "Ac", "Ac"], "frac_coords": [[0.0000, 0.8356, 0.1644], [0.0000, 0.1644, 0.8356], [0.7402, 0.5812, 0.9245], [0.5000, 0.5000, 0.5000], [0.2598, 0.0755, 0.4188], [0.2277, 0.7647, 0.7647], [0.5000, 0.0000, 0.0000], [0.7723, 0.2353, 0.2353], [0.7402, 0.9245, 0.5812], [0.2598, 0.4188, 0.0755], [0.0000, 0.5000, 0.5000]], "e_form_ev_per_atom": 0.24, "sg": "C2/m (12)", "total_magnetization_mub_per_fu": 0.0, "e_tot_ev_per_cell": -45.18, "relative_energy_mev_per_atom": 7}

{"formula": "Dy3Hf", "functional": "PBE-GGA", "state": "optimized geometry", "lattice_angstrom": [[3.3233, 0.0000, 0.0000], [0.0000, 3.3206, 0.0000], [0.0000, 0.0000, 10.8058]], "species": ["Dy", "Dy", "Dy", "Hf"], "frac_coords": [[0.0000, 0.5000, 0.4696], [0.5000, 0.0000, 0.7126], [0.5000, 0.5000, 0.1780], [0.0000, 0.0000, 0.9731]], "e_form_ev_per_atom": 0.29, "sg": "Pmm2 (25)", "total_magnetization_mub_per_fu": 0.0, "e_tot_ev_per_cell": -22.62, "relative_energy_mev_per_atom": 168}

{"formula": "Ce2DyNpSb4", "functional": "PBE-GGA", "state": "optimized geometry", "lattice_angstrom": [[4.4417, 0.0000, 0.0000], [0.0000, 7.7372, 0.1526], [0.0000, -2.6845, 7.1861]], "species": ["Sb", "Sb", "Np", "Sb", "Ce", "Dy", "Ce", "Sb"], "frac_coords": [[0.0000, 0.7492, 0.2443], [0.0000, 0.2508, 0.7557], [0.5000, 0.5000, 0.0000], [0.5000, 0.2474, 0.2443], [0.0000, 0.5000, 0.5000], [0.0000, 0.0000, 0.0000], [0.5000, 0.0000, 0.5000], [0.5000, 0.7526, 0.7557]], "e_form_raw_ev_per_atom": -0.85, "sg": "P2/m (10)", "total_magnetization_mub_per_fu": 4.2, "e_tot_ev_per_cell": -52.67}